1.
A plane-wave DFT calculation with PBE-GGA was carried out for a relaxed Cs5PdAuO2 crystal.

Properties
D(E_F) = 8.902 states/eV/f.u.
raw formation energy = -66.26 kJ/mol of atoms
theoretical density = 4.72 g/cm3
electronic total energy = -3.20 eV per atom

a b c (Å): 5.9723 5.9723 9.8728
angles (deg): 90.00 90.00 90.00
With the nearest neighbours (Å) after each atom.
Space group P4/mmm (No. 123)
One atom of each set of equivalent atoms:
Cs1 0.0000 0.0000 0.0000 x1  2 O 2.88
Cs2 0.0000 0.5000 0.2859 x4  2 O 2.99
Pd1 0.0000 0.0000 0.5000 x1  2 O 2.05
Au1 0.5000 0.5000 0.0000 x1  12 Cs 4.11-4.22
O1 0.0000 0.0000 0.2921 x2  1 Pd 2.05


2.
A plane-wave DFT calculation with PBE-GGA was carried out for a relaxed Cs2PdAuO crystal.

Properties
D(E_F) = 27.504 states/eV/f.u.
raw formation energy = 12.83 kJ/mol of atoms
energy above the most stable polymorph in this dataset = 658.5 meV/atom
theoretical density = 4.73 g/cm3
electronic total energy = -2.89 eV per atom

a b c (Å): 6.3079 6.3079 5.1598
angles (deg): 90.00 90.00 90.00
With the nearest neighbours (Å) after each atom.
Space group P4/mmm (No. 123)
One atom of each set of equivalent atoms:
Cs1 0.0000 0.5000 0.0000 x2  2 Pd 3.15
Pd1 0.0000 0.0000 0.0000 x1  2 Au 2.58
Au1 0.0000 0.0000 0.5000 x1  2 Pd 2.58
O1 0.5000 0.5000 0.5000 x1  8 Cs 4.07, 4 Au 4.46


3.
A plane-wave DFT calculation with PBE-GGA was carried out for a relaxed Cs8PdAuO2 crystal.

Properties
D(E_F) = 5.453 states/eV/f.u.
raw formation energy = -45.59 kJ/mol of atoms
theoretical density = 3.05 g/cm3
electronic total energy = -2.57 eV per atom

a b c (Å): 9.0653 9.0653 10.6830
angles (deg): 90.00 90.00 120.00
With the nearest neighbours (Å) after each atom.
Space group P-3m1 (No. 164)
One atom of each set of equivalent atoms:
Cs1 0.1669 0.3339 0.2746 x6  1 O 2.75
Cs2 0.3333 0.6667 0.9551 x2  1 O 2.55
Pd1 0.0000 0.0000 0.5000 x1  6 Cs 3.56
Au1 0.0000 0.0000 0.0000 x1  6 Cs 3.93
O1 0.3333 0.6667 0.1937 x2  4 Cs 2.55-2.75


4.
A plane-wave DFT calculation with PBE-GGA was carried out for a relaxed Cs2PdAuO crystal.

Properties
D(E_F) = 1.356 states/eV/f.u.
raw formation energy = -50.71 kJ/mol of atoms
energy above the most stable polymorph in this dataset = 0.0 meV/atom
theoretical density = 6.06 g/cm3
electronic total energy = -3.55 eV per atom

a b c (Å): 6.4122 6.4122 3.8983
angles (deg): 90.00 90.00 90.00
With the nearest neighbours (Å) after each atom.
Space group P4/mmm (No. 123)
One atom of each set of equivalent atoms:
Cs1 0.0000 0.5000 0.0000 x2  2 O 3.21
Pd1 0.0000 0.0000 0.5000 x1  2 O 1.95
Au1 0.5000 0.5000 0.5000 x1  8 Cs 3.75, 2 Au 3.90
O1 0.0000 0.0000 0.0000 x1  2 Pd 1.95


5.
A plane-wave DFT calculation with PBE-GGA was carried out for a relaxed Cs8PdAu2O crystal.

Properties
D(E_F) = 4.412 states/eV/f.u.
raw formation energy = -31.02 kJ/mol of atoms
theoretical density = 3.81 g/cm3
electronic total energy = -2.28 eV per atom

a b c (Å): 8.1747 10.2625 8.1972
angles (deg): 90.00 90.57 90.00
With the nearest neighbours (Å) after each atom.
Space group P2/m (No. 10)
One atom of each set of equivalent atoms:
Cs1 0.1832 0.2105 0.1668 x4  1 O 2.96
Cs2 0.2502 0.0000 0.7322 x2  1 O 3.01
Cs3 0.2846 0.5000 0.6912 x2  1 Pd 3.46, 2 Au 3.59
Pd1 0.0000 0.5000 0.0000 x1  6 Cs 3.46-3.59
Au1 0.5000 0.2370 0.5000 x2  6 Cs 3.59-3.76
O1 0.0000 0.0000 0.0000 x1  6 Cs 2.96-3.01


6.
A plane-wave DFT calculation with PBE-GGA was carried out for a relaxed Cs2PmAu2O6 crystal.

Properties
D(E_F) = 5.145 states/eV/f.u.
raw formation energy = -99.28 kJ/mol of atoms
theoretical density = 6.08 g/cm3
electronic total energy = -4.92 eV per atom

a b c (Å): 11.8366 6.0394 8.1030
angles (deg): 90.00 121.86 90.00
With the nearest neighbours (Å) after each atom.
Space group C2/m (No. 12)
One atom of each set of equivalent atoms:
Cs1 0.2063 0.0000 0.1297 x4  6 O 3.02-3.33
Pm1 0.0000 0.0000 0.5000 x2  6 O 2.34-2.36
Au1 0.0936 0.5000 0.2976 x4  3 O 1.92-1.97
O1 0.0326 0.2671 0.7338 x8  1 Au 1.97
O2 0.2327 0.0000 0.6676 x4  1 Au 1.92